Entry 1:
{
  "formula": "Mg5Cr4",
  "functional": "PBE",
  "state": "relaxed",
  "lattice": [[0.5700, -2.6047, 5.8839], [1.7040, 5.1938, -3.4423], [-6.2500, 1.5441, 0.5312]],
  "species": ["Mg", "Mg", "Mg", "Mg", "Mg", "Cr", "Cr", "Cr", "Cr"],
  "fractional_positions": [[0.0000, 0.0000, 0.0000], [0.6736, 0.3264, 0.0000], [0.3264, 0.6736, 0.0000], [0.3264, 0.3264, 0.6528], [0.6736, 0.6736, 0.3472], [0.6168, 0.0000, 0.6168], [0.3832, 0.0000, 0.3832], [0.0000, 0.3832, 0.3832], [0.0000, 0.6168, 0.6168]],
  "space_group": "I4/mmm (139)",
  "magnetic_moment_mub_per_cell": 0.000,
  "ef_mev_per_atom": 407,
  "relative_energy_mev_per_atom": 0.0
}

Entry 2:
{
  "formula": "K4LaSe",
  "functional": "PBE",
  "state": "relaxed",
  "lattice": [[-0.2001, -5.7741, 4.4719], [-6.3901, -3.1568, 1.6063], [-1.5719, -6.6230, -2.6538]],
  "species": ["K", "K", "K", "K", "La", "Se"],
  "fractional_positions": [[0.8824, 0.3725, 0.3725], [0.3725, 0.3725, 0.8824], [0.3725, 0.8824, 0.3725], [0.3725, 0.3725, 0.3725], [0.7500, 0.7500, 0.7500], [0.0000, 0.0000, 0.0000]],
  "space_group": "F-43m (216)",
  "e_form_raw_ev_per_fu": 2.00,
  "magnetic_moment_mub_per_cell": 2.745
}

Entry 3:
{
  "formula": "ReBrCl2",
  "functional": "PBE",
  "state": "relaxed",
  "lattice": [[-4.3802, -1.6842, 1.2751], [-0.7623, -1.6130, 4.5239], [-2.7925, 2.5542, 3.0539]],
  "species": ["Re", "Br", "Cl", "Cl"],
  "fractional_positions": [[0.7500, 0.7500, 0.7500], [0.5000, 0.5000, 0.5000], [0.0000, 0.0000, 0.0000], [0.2500, 0.2500, 0.2500]],
  "space_group": "F-43m (216)",
  "e_form_raw_ev_per_fu": 4.13,
  "magnetic_moment_mub_per_cell": 4.002,
  "relative_energy_mev_per_atom": 1197.8
}

Entry 4:
{
  "formula": "Er3PaTl3Se8",
  "functional": "PBE",
  "state": "relaxed",
  "lattice": [[-8.1616, -1.1031, -0.9408], [4.5366, -5.7407, 3.8945], [-1.5821, 7.8256, 4.5495]],
  "species": ["Er", "Er", "Er", "Pa", "Tl", "Tl", "Tl", "Se", "Se", "Se", "Se", "Se", "Se", "Se", "Se"],
  "fractional_positions": [[0.5000, 0.0000, 0.5000], [0.5000, 0.5000, 0.5000], [0.0000, 0.5000, 0.5000], [0.0000, 0.0000, 0.5000], [0.0000, 0.0000, 0.0000], [0.0000, 0.5000, 0.0000], [0.5000, 0.5000, 0.0000], [0.2663, 0.5325, 0.2991], [0.7337, 0.4675, 0.7009], [0.7657, 0.5314, 0.2987], [0.2343, 0.4686, 0.7013], [0.7657, 0.0327, 0.2987], [0.2343, 0.9673, 0.7013], [0.2670, 0.0327, 0.2987], [0.7330, 0.9673, 0.7013]],
  "space_group": "R-3m (166)",
  "e_form_raw_ev_per_fu": -20.63,
  "magnetic_moment_mub_per_cell": 1.046
}